Tb4Tl2Au (PBE, relaxed); E_tot = -4.139 eV per atom; total magnetization = 0.00 μB/cell; calculated density = 10.08 Mg/m³
1.0
2.6242 1.5151 8.5692
-2.6242 1.5151 8.5692
0.0000 -3.0302 8.5692
Tb Tl Au
4 2 1
direct
0.1219 0.1219 0.1219
0.3731 0.3731 0.3731
0.6269 0.6269 0.6269
0.8781 0.8781 0.8781
0.2443 0.2443 0.2443
0.7557 0.7557 0.7557
0.0000 0.0000 0.0000

---

La5Tb4Ho2 (PBE, relaxed); E_tot = -4.638 eV per atom; total magnetization = 0.00 μB/cell; calculated density = 7.12 Mg/m³
1.0
9.1511 -1.8160 0.0000
9.1511 1.8160 0.0000
-1.0637 0.0000 11.6538
La Tb Ho
5 4 2
direct
0.0000 0.0000 0.0000
0.3332 0.3332 0.0135
0.3453 0.3453 0.5130
0.6547 0.6547 0.4870
0.6668 0.6668 0.9865
0.2084 0.2084 0.7409
0.4657 0.4657 0.2711
0.5343 0.5343 0.7289
0.7916 0.7916 0.2591
0.1282 0.1282 0.2305
0.8718 0.8718 0.7695